# 1
Here is a relaxed MgBe2Cd crystal from Alexandria via LeMat-Bulk. Energies are from PBE-GGA.

Calculated values
- ΔE_f (eV/f.u.) = 1.73
- E above lowest polymorph (eV per atom) = 0.1418

```
8
Lattice="3.868 0.000 0.000 0.000 3.868 0.000 0.000 0.000 7.910" Properties=species:S:1:pos:R:3 pbc="T T T"
Mg 0.000 0.000 0.000
Mg 1.934 1.934 3.955
Be 0.000 0.000 3.955
Be 0.000 1.934 5.933
Be 1.934 0.000 1.978
Be 1.934 1.934 0.000
Cd 0.000 1.934 1.978
Cd 1.934 0.000 5.933
```

=====

# 2
Here is a relaxed Zn10SiB8Rh18 crystal from Alexandria via LeMat-Bulk. Energies are from PBE-GGA.

Calculated values
- raw formation energy (meV/atom) = -454.6

```
74
Lattice="17.882 0.000 0.000 0.000 17.882 0.000 0.000 0.000 2.870" Properties=species:S:1:pos:R:3 pbc="T T T"
Zn 0.543 3.430 0.000
Zn 0.895 8.046 0.000
Zn 3.033 5.908 0.000
Zn 3.430 17.339 0.000
Zn 3.802 12.743 0.000
Zn 5.139 3.802 0.000
Zn 5.510 8.398 0.000
Zn 5.908 14.849 0.000
Zn 8.046 16.987 0.000
Zn 8.398 12.371 0.000
Zn 9.484 5.510 0.000
Zn 9.836 0.895 0.000
Zn 11.974 3.033 0.000
Zn 12.371 9.484 0.000
Zn 12.743 14.080 0.000
Zn 14.080 5.139 0.000
Zn 14.451 0.543 0.000
Zn 14.849 11.974 0.000
Zn 16.987 9.836 0.000
Zn 17.339 14.451 0.000
Si 0.000 0.000 0.000
Si 8.941 8.941 0.000
B 0.707 11.893 0.000
B 2.191 14.889 0.000
B 2.952 9.648 0.000
B 2.993 2.191 0.000
B 5.948 11.131 0.000
B 5.988 0.707 0.000
B 6.750 5.948 0.000
B 8.234 2.952 0.000
B 9.648 14.929 0.000
B 11.131 11.933 0.000
B 11.893 17.175 0.000
B 11.933 6.750 0.000
B 14.889 15.691 0.000
B 14.929 8.234 0.000
B 15.691 2.993 0.000
B 17.175 5.988 0.000
Rh 0.849 5.826 1.435
Rh 1.101 16.135 1.435
Rh 1.457 10.398 1.435
Rh 1.602 13.304 1.435
Rh 1.746 1.101 1.435
Rh 2.791 3.736 1.435
Rh 3.115 8.092 1.435
Rh 3.736 15.090 1.435
Rh 4.363 10.543 1.435
Rh 4.578 1.602 1.435
Rh 5.205 6.150 1.435
Rh 5.826 17.033 1.435
Rh 6.150 12.677 1.435
Rh 7.194 10.042 1.435
Rh 7.339 4.363 1.435
Rh 7.484 1.457 1.435
Rh 7.840 7.194 1.435
Rh 8.092 14.767 1.435
Rh 9.790 3.115 1.435
Rh 10.042 10.687 1.435
Rh 10.398 16.425 1.435
Rh 10.543 13.519 1.435
Rh 10.687 7.840 1.435
Rh 11.732 5.205 1.435
Rh 12.056 0.849 1.435
Rh 12.677 11.732 1.435
Rh 13.304 16.280 1.435
Rh 13.519 7.339 1.435
Rh 14.146 2.791 1.435
Rh 14.767 9.790 1.435
Rh 15.090 14.146 1.435
Rh 16.135 16.780 1.435
Rh 16.280 4.578 1.435
Rh 16.425 7.484 1.435
Rh 16.780 1.746 1.435
Rh 17.033 12.056 1.435
```

=====

# 3
Here is a relaxed Na3Hf3CuSe8 crystal from Alexandria via LeMat-Bulk. Energies are from PBE-GGA.

Calculated values
- raw formation energy (meV/atom) = -1110.8

```
15
Lattice="6.668 -3.852 0.000 6.668 3.852 0.000 -4.441 0.000 7.070" Properties=species:S:1:pos:R:3 pbc="T T T"
Na 0.000 0.000 0.000
Na 3.334 1.926 0.000
Na 3.334 -1.926 0.000
Hf 1.113 1.926 3.535
Hf 1.113 -1.926 3.535
Hf 4.447 0.000 3.535
Cu -2.220 0.000 3.535
Se 0.017 0.000 5.027
Se 3.324 1.904 5.031
Se 2.224 0.000 1.960
Se 5.570 1.904 2.039
Se 3.324 -1.904 5.031
Se 6.670 0.000 5.110
Se 5.570 -1.904 2.039
Se 8.877 0.000 2.043
```

=====

# 4
Here is a relaxed LaInPd2 crystal from Alexandria via LeMat-Bulk. Energies are from PBE-GGA.

Calculated values
- ΔE_f (eV/f.u.) = -3.20

```
8
Lattice="4.699 0.000 0.000 -2.350 4.070 0.000 0.000 0.000 9.363" Properties=species:S:1:pos:R:3 pbc="T T T"
La 0.000 2.713 2.341
La 2.350 1.357 7.022
In 0.000 0.000 0.000
In 0.000 0.000 4.681
Pd 0.000 2.713 5.430
Pd 0.000 2.713 8.614
Pd 2.350 1.357 0.749
Pd 2.350 1.357 3.933
```

=====

# 5
Here is a relaxed Pm4CSe2O crystal from Alexandria via LeMat-Bulk. Energies are from PBE-GGA.

Calculated values
- raw formation energy (meV/atom) = -1676.2

```
8
Lattice="6.613 0.000 0.000 0.000 3.854 0.000 -2.223 0.000 6.727" Properties=species:S:1:pos:R:3 pbc="T T T"
Pm 1.087 0.000 1.381
Pm -0.059 1.927 5.350
Pm 4.449 1.927 1.377
Pm 3.303 0.000 5.346
C 0.000 1.927 0.000
Se -1.112 0.000 3.363
Se 2.195 1.927 3.363
O 3.307 0.000 0.000
```

=====

# 6
Here is a relaxed NpH8PdRh2 crystal from Alexandria via LeMat-Bulk. Energies are from PBE-GGA.

Calculated values
- raw total energy (eV/atom) = -5.029

```
12
Lattice="2.390 1.380 5.328 -2.390 1.380 5.328 0.000 -2.760 5.328" Properties=species:S:1:pos:R:3 pbc="T T T"
Np 0.000 0.000 0.000
H -0.671 -1.549 7.212
H -1.676 -0.194 8.771
H 0.000 0.000 5.044
H -1.006 1.355 7.212
H 1.006 -1.355 8.771
H 0.000 0.000 10.940
H 1.676 0.194 7.212
H 0.671 1.549 8.771
Pd 0.000 0.000 7.992
Rh 0.000 0.000 3.356
Rh 0.000 0.000 12.628
```

=====

# 7
Here is a relaxed NaPrSmAl crystal from Alexandria via LeMat-Bulk. Energies are from PBE-GGA.

Calculated values
- ΔE_f (eV/f.u.) = -0.22

```
16
Lattice="7.675 0.000 0.000 0.000 7.675 0.000 0.000 0.000 7.675" Properties=species:S:1:pos:R:3 pbc="T T T"
Na 0.000 0.000 0.000
Na 0.000 3.838 3.838
Na 3.838 0.000 3.838
Na 3.838 3.838 0.000
Pr 1.919 1.919 5.756
Pr 1.919 5.756 1.919
Pr 5.756 1.919 1.919
Pr 5.756 5.756 5.756
Sm 1.919 1.919 1.919
Sm 1.919 5.756 5.756
Sm 5.756 1.919 5.756
Sm 5.756 5.756 1.919
Al 0.000 0.000 3.838
Al 0.000 3.838 0.000
Al 3.838 0.000 0.000
Al 3.838 3.838 3.838
```

=====

# 8
Here is a relaxed ZrInSi2 crystal from Alexandria via LeMat-Bulk. Energies are from PBE-GGA.

Calculated values
- raw formation energy (meV/atom) = -25.2

```
4
Lattice="2.943 0.000 0.000 0.000 4.752 0.000 0.000 0.000 5.386" Properties=species:S:1:pos:R:3 pbc="T T T"
Zr 0.000 0.000 0.000
In 1.472 2.376 3.810
Si 1.472 0.000 2.397
Si 1.472 2.376 1.070
```